Entry 1:
# Ho3Mg6Sc2

A relaxed Ho3Mg6Sc2 crystal (PBE-GGA, Alexandria).

Output
size of the total moment = 0.66 μB per formula unit
space group = I4/mmm (139)
Fermi-level density of states = 13.90 states/eV per cell
ΔE_f = 16 kJ per mole of atoms

abc: 4.3973 4.3973 15.6656
angles: 98.07 98.07 90.00
Last column: nearest neighbours and their distance in Å.
Fractional positions:
Ho  0.0000  0.0000  0.0000  8 Sc 3.42
Ho  0.7878  0.7878  0.5755  5 Mg 3.23-3.24
Ho  0.2122  0.2122  0.4245  5 Mg 3.23-3.24
Mg  0.1163  0.6163  0.2325  6 Mg 3.00-3.11, 2 Sc 3.07
Mg  0.6163  0.1163  0.2325  6 Mg 3.00-3.11, 2 Sc 3.07
Mg  0.8837  0.3837  0.7675  6 Mg 3.00-3.11, 2 Sc 3.07
Mg  0.3837  0.8837  0.7675  6 Mg 3.00-3.11, 2 Sc 3.07
Mg  0.6827  0.6827  0.3654  4 Mg 3.00, 5 Ho 3.23-3.24
Mg  0.3173  0.3173  0.6346  4 Mg 3.00, 5 Ho 3.23-3.24
Sc  0.4535  0.4535  0.9070  1 Sc 2.85, 4 Mg 3.07
Sc  0.5465  0.5465  0.0930  1 Sc 2.85, 4 Mg 3.07


Entry 2:
# LaZrAs

A relaxed LaZrAs crystal (PBE-GGA, Alexandria).

Output
size of the total moment = 0.38 μB per formula unit
polymorph energy (0 for the lowest one) = 8 meV per atom
space group = P4/nmm (129)
Fermi-level density of states = 4.64 states/eV per cell
ΔE_f = -95 kJ per mole of atoms

abc: 4.2434 4.2434 8.3402
angles: 90.00 90.00 90.00
Last column: nearest neighbours and their distance in Å.
Fractional positions:
As  0.0000  0.5000  0.2381  4 Zr 2.91, 4 La 3.15
As  0.5000  0.0000  0.7619  4 Zr 2.91, 4 La 3.15
Zr  0.0000  0.0000  0.0000  4 As 2.91, 4 Zr 3.00
Zr  0.5000  0.5000  0.0000  4 As 2.91, 4 Zr 3.00
La  0.0000  0.5000  0.6452  5 As 3.15-3.39
La  0.5000  0.0000  0.3548  5 As 3.15-3.39